# 1
The following is a GGA-PBE calculation of CaCeAgRu after structural relaxation, from Alexandria.

- distance to the lowest polymorph of the same formula (eV per atom) = 0.152
- calculated density (g cm⁻³) = 7.24
- E_form (eV/atom) = -0.069
- crystal system = cubic
- total energy (eV per atom) = -5.084

Structure (CIF):
```
data_CaCeAgRu
_chemical_formula_sum 'Ca4 Ce4 Ag4 Ru4'
_cell_length_a 7.093
_cell_length_b 7.093
_cell_length_c 7.093
_cell_angle_alpha 90.00
_cell_angle_beta 90.00
_cell_angle_gamma 90.00
_space_group_name_H-M_alt 'F -4 3 m'
_space_group_IT_number 216
_space_group_name_Hall 'F -4 2 3'
loop_
_atom_site_label
_atom_site_fract_x
_atom_site_fract_y
_atom_site_fract_z
Ca1 0.000 0.000 0.000
Ce1 0.000 0.000 0.500
Ag1 0.250 0.250 0.250
Ru1 0.250 0.250 0.750
```



# 2
The following is a GGA-PBE calculation of Mg2Si after structural relaxation, from Alexandria.

- calculated density (g cm⁻³) = 2.10
- E_form (uncorrected) (eV/atom) = -0.029
- crystal system = triclinic
- total energy (eV per atom) = -2.899

Structure (CIF):
```
data_Mg2Si
_chemical_formula_sum 'Mg8 Si4'
_cell_length_a 5.960
_cell_length_b 6.049
_cell_length_c 7.852
_cell_angle_alpha 111.12
_cell_angle_beta 96.54
_cell_angle_gamma 108.17
_space_group_name_H-M_alt 'P -1'
_space_group_IT_number 2
_space_group_name_Hall '-P 1'
loop_
_atom_site_label
_atom_site_fract_x
_atom_site_fract_y
_atom_site_fract_z
Mg1 0.115 0.150 0.237
Mg2 0.249 0.516 0.006
Mg3 0.298 0.650 0.635
Mg4 0.344 0.161 0.624
Si1 0.098 0.705 0.324
Si2 0.359 0.087 0.961
```



# 3
The following is a GGA-PBE calculation of Be2Pt after structural relaxation, from Alexandria.

- distance to the lowest polymorph of the same formula (eV per atom) = 0.187
- calculated density (g cm⁻³) = 10.70
- E_form (eV/atom) = -0.460
- crystal system = monoclinic
- total energy (eV per atom) = -4.958

Structure (CIF):
```
data_Be2Pt
_chemical_formula_sum 'Be8 Pt4'
_cell_length_a 8.454
_cell_length_b 2.731
_cell_length_c 5.895
_cell_angle_alpha 90.00
_cell_angle_beta 103.58
_cell_angle_gamma 90.00
_space_group_name_H-M_alt 'C 1 m 1'
_space_group_IT_number 8
_space_group_name_Hall 'C -2y'
loop_
_atom_site_label
_atom_site_fract_x
_atom_site_fract_y
_atom_site_fract_z
Be1 0.000 0.000 0.000
Be2 0.081 0.000 0.555
Be3 0.185 0.500 0.286
Be4 0.371 0.000 0.679
Pt1 0.199 0.500 0.867
Pt2 0.408 0.000 0.289
```



# 4
The following is a GGA-PBE calculation of NiPb2AuN after structural relaxation, from Alexandria.

- calculated density (g cm⁻³) = 11.16
- E_form (uncorrected) (eV/atom) = 0.180
- crystal system = tetragonal
- total energy (eV per atom) = -4.780

Structure (CIF):
```
data_NiPb2AuN
_chemical_formula_sum 'Ni1 Pb2 Au1 N1'
_cell_length_a 5.401
_cell_length_b 5.401
_cell_length_c 3.490
_cell_angle_alpha 90.00
_cell_angle_beta 90.00
_cell_angle_gamma 90.00
_space_group_name_H-M_alt 'P 4/m m m'
_space_group_IT_number 123
_space_group_name_Hall '-P 4 2'
loop_
_atom_site_label
_atom_site_fract_x
_atom_site_fract_y
_atom_site_fract_z
Ni1 0.000 0.000 0.000
Pb1 0.000 0.500 0.500
Au1 0.500 0.500 0.000
N1 0.000 0.000 0.500
```